Na4SnHg15: relaxed, PBE.

Geometry as POSCAR:
```
Na4SnHg15
1.0
-2.371 -0.662 -4.044
-2.342 -3.615 1.965
-16.462 14.612 7.259
Hg Na Sn
15 4 1
Direct
0.000 0.500 0.299
0.000 0.500 0.500
0.500 0.000 0.898
0.500 0.500 0.602
0.500 0.000 0.102
0.000 0.500 0.898
0.500 0.500 0.200
0.000 0.500 0.701
0.500 0.500 0.000
0.500 0.000 0.500
0.500 0.500 0.398
0.500 0.000 0.701
0.500 0.500 0.800
0.500 0.000 0.299
0.000 0.500 0.102
0.000 0.000 0.200
0.000 0.000 0.800
0.000 0.000 0.601
0.000 0.000 0.399
0.000 0.000 0.000
```

Density of states at the Fermi level = 7.30 states/eV per cell
ΔE_f = -0.13 eV/atom
E_tot = -16.43 eV for the cell shown